[1]
Ta2CoPb: optimized geometry, GGA-PBE.

The formation energy comes out at 0.4960 eV/atom.

a b c (Å): 5.6943 8.1080 3.0918
angles (deg): 90.00 90.00 90.00
Last column: nearest neighbours and their distance in Å.
Positions (direct):
Ta 0.2500 0.2500 0.0000  4 Ta 2.85-3.09, 4 Pb 2.92, 4 Co 2.92
Ta 0.2500 0.7500 0.0000  4 Ta 2.85-3.09, 4 Pb 2.92, 4 Co 2.92
Ta 0.7500 0.2500 0.0000  4 Ta 2.85-3.09, 4 Co 2.92, 4 Pb 2.92
Ta 0.7500 0.7500 0.0000  4 Ta 2.85-3.09, 4 Pb 2.92, 4 Co 2.92
Co 0.0000 0.0000 0.5000  2 Pb 2.85, 8 Ta 2.92, 2 Co 3.09
Co 0.5000 0.5000 0.5000  2 Pb 2.85, 8 Ta 2.92, 2 Co 3.09
Pb 0.0000 0.5000 0.5000  2 Co 2.85, 8 Ta 2.92, 2 Pb 3.09
Pb 0.5000 0.0000 0.5000  2 Co 2.85, 8 Ta 2.92, 2 Pb 3.09

***

[2]
MnCr2Mo: optimized geometry, GGA-PBE.

The value obtained for the distance to the lowest polymorph of the same formula is 0.0109 eV per atom. The formation energy comes out at 0.0991 eV/atom.

a b c (Å): 2.9433 4.1275 4.1627
angles (deg): 90.00 90.00 90.00
Last column: nearest neighbours and their distance in Å.
Positions (direct):
Mn 0.0000 0.0000 0.0000  4 Mo 2.53, 4 Cr 2.55
Cr 0.0000 0.5000 0.5000  4 Cr 2.53, 4 Mo 2.55
Cr 0.5000 0.0000 0.5000  4 Cr 2.53, 4 Mn 2.55
Mo 0.5000 0.5000 0.0000  4 Mn 2.53, 4 Cr 2.55

***

[3]
Nd2Er8Pb: optimized geometry, GGA-PBE.

The formation energy comes out at -0.0665 eV/atom.

a b c (Å): 9.3733 9.3733 7.8658
angles (deg): 104.60 104.60 30.43
Last column: nearest neighbours and their distance in Å.
Positions (direct):
Nd 0.2201 0.2201 0.1319  10 Er 3.44-3.65, 2 Nd 3.56
Nd 0.7799 0.7799 0.8681  10 Er 3.44-3.65, 2 Nd 3.56
Er 0.0443 0.0443 0.2222  1 Nd 3.44, 9 Er 3.44-3.54, 2 Pb 3.52
Er 0.1350 0.1350 0.6752  7 Er 3.48-3.54, 2 Pb 3.49, 3 Nd 3.52-3.63
Er 0.3183 0.3183 0.5930  3 Nd 3.46-3.60, 8 Er 3.48-3.60, 1 Pb 3.55
Er 0.4110 0.4110 0.0574  1 Pb 3.43, 8 Er 3.45-3.60, 3 Nd 3.47-3.65
Er 0.5890 0.5890 0.9426  1 Pb 3.43, 8 Er 3.45-3.60, 3 Nd 3.47-3.65
Er 0.6817 0.6817 0.4070  3 Nd 3.46-3.60, 8 Er 3.48-3.60, 1 Pb 3.55
Er 0.8650 0.8650 0.3248  7 Er 3.48-3.54, 2 Pb 3.49, 3 Nd 3.52-3.63
Er 0.9557 0.9557 0.7778  1 Nd 3.44, 9 Er 3.44-3.54, 2 Pb 3.52
Pb 0.5000 0.5000 0.5000  12 Er 3.43-3.55

***

[4]
Rb3Ac2CeS6: optimized geometry, GGA-PBE.

The formation energy without anion corrections is -1.84 eV per atom.

a b c (Å): 7.6171 7.6171 8.1232
angles (deg): 99.00 99.00 120.00
Last column: nearest neighbours and their distance in Å.
Positions (direct):
Rb 0.0000 0.0000 0.0000  6 S 3.40-3.49
Rb 0.3335 0.6665 0.0000  6 S 3.40-3.49
Rb 0.6665 0.3335 0.0000  6 S 3.40-3.49
Ac 0.1667 0.8333 0.5000  6 S 3.01
Ac 0.8333 0.1667 0.5000  6 S 3.01
Ce 0.5000 0.5000 0.5000  6 S 2.90-2.91
S 0.1101 0.4331 0.2994  1 Ce 2.91, 2 Ac 3.01
S 0.2439 0.2439 0.7002  1 Ce 2.90, 2 Ac 3.01
S 0.4331 0.1101 0.2994  1 Ce 2.91, 2 Ac 3.01
S 0.5669 0.8899 0.7006  1 Ce 2.91, 2 Ac 3.01
S 0.7561 0.7561 0.2998  1 Ce 2.90, 2 Ac 3.01
S 0.8899 0.5669 0.7006  1 Ce 2.91, 2 Ac 3.01

***

no.,total magnetic moment (μB/atom)
1,0.31
2,0.13
3,0.00
4,0.08